# 1
{"formula": "Na2ZnSiO4", "functional": "PBEsol", "state": "relaxed", "formation_energy_uncorrected_mev_per_atom": -2148, "dos_ef_per_ev_cell": 0.00, "e_tot_ev_per_cell": -96.6, "sg": "Pc", "lattice_angstrom": [[5.2635, 0.0000, 0.0000], [0.0000, 5.4642, 0.0000], [-5.2320, 0.0000, 7.0009]], "species": ["Na", "Na", "Na", "Na", "Zn", "Zn", "Si", "Si", "O", "O", "O", "O", "O", "O", "O", "O"], "fractional_positions": [[0.0000, 0.1758, 0.0000], [0.0000, 0.8242, 0.5000], [0.2509, 0.3177, 0.7553], [0.2509, 0.6823, 0.2553], [0.7367, 0.3119, 0.2497], [0.7367, 0.6881, 0.7497], [0.4851, 0.1876, 0.5021], [0.4851, 0.8124, 0.0021], [0.1485, 0.2111, 0.4751], [0.1485, 0.7889, 0.9751], [0.4293, 0.2903, 0.3070], [0.4293, 0.7097, 0.8070], [0.5918, 0.1029, 0.0296], [0.5918, 0.8971, 0.5296], [0.7601, 0.3426, 0.6949], [0.7601, 0.6574, 0.1949]]}

=====

# 2
{"formula": "Na2ZnSi2O6", "functional": "PBEsol", "state": "relaxed", "formation_energy_uncorrected_mev_per_atom": -2334, "dos_ef_per_ev_cell": 0.00, "relative_energy_ev_per_atom": 0.010, "e_tot_ev_per_cell": -146.1, "sg": "C2/c", "lattice_angstrom": [[3.0796, -4.7744, 0.0000], [3.0796, 4.7744, 0.0000], [-0.5030, 0.0000, 9.9434]], "species": ["Na", "Na", "Na", "Na", "Zn", "Zn", "Si", "Si", "Si", "Si", "O", "O", "O", "O", "O", "O", "O", "O", "O", "O", "O", "O"], "fractional_positions": [[0.1112, 0.7608, 0.8956], [0.2392, 0.8888, 0.6044], [0.7608, 0.1112, 0.3956], [0.8888, 0.2392, 0.1044], [0.2298, 0.7702, 0.2500], [0.7702, 0.2298, 0.7500], [0.3339, 0.3619, 0.8610], [0.3619, 0.3339, 0.3610], [0.6381, 0.6661, 0.6390], [0.6661, 0.6381, 0.1390], [0.0300, 0.2716, 0.8908], [0.1324, 0.4104, 0.3070], [0.2716, 0.0300, 0.3908], [0.4076, 0.5924, 0.7500], [0.4104, 0.1324, 0.8070], [0.5000, 0.5000, 0.0000], [0.5000, 0.5000, 0.5000], [0.5896, 0.8676, 0.1930], [0.5924, 0.4076, 0.2500], [0.7284, 0.9700, 0.6092], [0.8676, 0.5896, 0.6930], [0.9700, 0.7284, 0.1092]]}

=====

# 3
{"formula": "NaZrSi2O7", "functional": "PBEsol", "state": "relaxed", "formation_energy_uncorrected_mev_per_atom": -2633, "dos_ef_per_ev_cell": 12.30, "e_tot_ev_per_cell": -175.4, "sg": "P-1", "lattice_angstrom": [[5.4536, 0.0000, 0.0000], [0.4527, 6.7374, 0.0000], [0.3374, 2.8689, 8.2994]], "species": ["Na", "Na", "Zr", "Zr", "Si", "Si", "Si", "Si", "O", "O", "O", "O", "O", "O", "O", "O", "O", "O", "O", "O", "O", "O"], "fractional_positions": [[0.2310, 0.3293, 0.0212], [0.7690, 0.6707, 0.9788], [0.2238, 0.7080, 0.2300], [0.7762, 0.2920, 0.7700], [0.2232, 0.6465, 0.6543], [0.3100, 0.9434, 0.8265], [0.6900, 0.0566, 0.1735], [0.7768, 0.3535, 0.3457], [0.0147, 0.4508, 0.2331], [0.1043, 0.1244, 0.8341], [0.1950, 0.6643, 0.4680], [0.2617, 0.8801, 0.6652], [0.2903, 0.7309, 0.9843], [0.4124, 0.9783, 0.1819], [0.4627, 0.4915, 0.7291], [0.5373, 0.5085, 0.2709], [0.5876, 0.0217, 0.8181], [0.7097, 0.2691, 0.0157], [0.7383, 0.1199, 0.3348], [0.8050, 0.3357, 0.5320], [0.8957, 0.8756, 0.1659], [0.9853, 0.5492, 0.7669]]}

=====

# 4
{"formula": "NaSmO2", "functional": "PBEsol", "state": "relaxed", "formation_energy_uncorrected_mev_per_atom": -2723, "dos_ef_per_ev_cell": 0.00, "e_tot_ev_per_cell": -55.8, "sg": "I4_1/amd", "lattice_angstrom": [[-2.3327, 2.3327, 5.3272], [2.3327, -2.3327, 5.3272], [2.3327, 2.3327, -5.3272]], "species": ["Na", "Na", "Sm", "Sm", "O", "O", "O", "O"], "fractional_positions": [[0.3750, 0.6250, 0.7500], [0.6250, 0.3750, 0.2500], [0.1250, 0.8750, 0.2500], [0.8750, 0.1250, 0.7500], [0.0951, 0.3451, 0.7500], [0.3451, 0.0951, 0.2500], [0.6549, 0.9049, 0.7500], [0.9049, 0.6549, 0.2500]]}

=====

# 5
{"formula": "NaSmO2", "functional": "PBEsol", "state": "relaxed", "formation_energy_uncorrected_mev_per_atom": -2700, "dos_ef_per_ev_cell": 0.00, "e_tot_ev_per_cell": -27.8, "sg": "R-3m", "lattice_angstrom": [[1.7459, 1.0080, 5.5344], [-1.7459, 1.0080, 5.5344], [0.0000, -2.0159, 5.5344]], "species": ["Na", "Sm", "O", "O"], "fractional_positions": [[0.0000, 0.0000, 0.0000], [0.5000, 0.5000, 0.5000], [0.2385, 0.2385, 0.2385], [0.7615, 0.7615, 0.7615]]}

=====

# 6
{"formula": "Na3SmV2O8", "functional": "PBEsol", "state": "relaxed", "formation_energy_uncorrected_mev_per_atom": -2437, "dos_ef_per_ev_cell": 0.00, "e_tot_ev_per_cell": -104.7, "sg": "P-3m1", "lattice_angstrom": [[5.9038, 0.0000, 0.0000], [-2.9519, 5.1128, 0.0000], [0.0000, 0.0000, 6.9753]], "species": ["Na", "Na", "Na", "Sm", "V", "V", "O", "O", "O", "O", "O", "O", "O", "O"], "fractional_positions": [[0.0000, 0.0000, 0.0000], [0.3333, 0.6667, 0.6623], [0.6667, 0.3333, 0.3377], [0.0000, 0.0000, 0.5000], [0.3333, 0.6667, 0.2092], [0.6667, 0.3333, 0.7908], [0.1756, 0.3512, 0.3011], [0.1756, 0.8244, 0.3011], [0.3333, 0.6667, 0.9728], [0.3512, 0.1756, 0.6989], [0.6488, 0.8244, 0.3011], [0.6667, 0.3333, 0.0272], [0.8244, 0.1756, 0.6989], [0.8244, 0.6488, 0.6989]]}

=====

- Which formula does entry 4 have?
  NaSmO2

=====

Repeat the sixth record exactly.
{"formula": "Na3SmV2O8", "functional": "PBEsol", "state": "relaxed", "formation_energy_uncorrected_mev_per_atom": -2437, "dos_ef_per_ev_cell": 0.00, "e_tot_ev_per_cell": -104.7, "sg": "P-3m1", "lattice_angstrom": [[5.9038, 0.0000, 0.0000], [-2.9519, 5.1128, 0.0000], [0.0000, 0.0000, 6.9753]], "species": ["Na", "Na", "Na", "Sm", "V", "V", "O", "O", "O", "O", "O", "O", "O", "O"], "fractional_positions": [[0.0000, 0.0000, 0.0000], [0.3333, 0.6667, 0.6623], [0.6667, 0.3333, 0.3377], [0.0000, 0.0000, 0.5000], [0.3333, 0.6667, 0.2092], [0.6667, 0.3333, 0.7908], [0.1756, 0.3512, 0.3011], [0.1756, 0.8244, 0.3011], [0.3333, 0.6667, 0.9728], [0.3512, 0.1756, 0.6989], [0.6488, 0.8244, 0.3011], [0.6667, 0.3333, 0.0272], [0.8244, 0.1756, 0.6989], [0.8244, 0.6488, 0.6989]]}